15
Lattice="1.942 1.121 15.893 -1.942 1.121 15.893 0.000 -2.243 15.893" Properties=species:S:1:pos:R:3 comment="ThPa4O10, relaxed, DFT PBE" energy_ev_per_cell=-149.3 volume_a3_per_cell=207.7 pbc="T T T"
Th 0.000 0.000 0.000
Pa 0.000 0.000 9.506
Pa 0.000 0.000 19.133
Pa 0.000 0.000 28.545
Pa 0.000 0.000 38.172
O 0.000 0.000 2.459
O 0.000 0.000 7.148
O 0.000 0.000 11.865
O 0.000 0.000 16.749
O 0.000 0.000 21.478
O 0.000 0.000 26.199
O 0.000 0.000 30.929
O 0.000 0.000 35.813
O 0.000 0.000 40.530
O 0.000 0.000 45.218